1:
Compound: LaInCl2
Source: Alexandria via LeMat-Bulk
Functional: meta-GGA SCAN
Structure: PBEsol geometry

## Properties
- Crystal system: trigonal

Cell: 3.5745 3.5745 29.1434 Å, 90.00 90.00 120.00°
Space group R-3m (No. 166, hexagonal axes)
One atom of each set of equivalent atoms:
La 0.0000 0.0000 0.0000 x3
In 0.0000 0.0000 0.5000 x3
Cl 0.0000 0.0000 0.2644 x6

2:
Compound: LaInCl2
Source: Alexandria via LeMat-Bulk
Functional: meta-GGA SCAN
Structure: PBEsol geometry

## Properties
- Crystal system: orthorhombic

Cell: 5.3272 3.9998 10.0391 Å, 90.00 90.00 90.00°
Space group Amm2 (No. 38)
One atom of each set of equivalent atoms:
La 0.0000 0.0000 0.0000 x2
In 0.5000 0.0000 0.4014 x2
Cl 0.0000 0.0000 0.7116 x2
Cl 0.5000 0.0000 0.1211 x2

Name the least stable of them. 1.